A plane-wave DFT calculation with PBE with a Hubbard U was carried out for a relaxed structure of TaMn3O6.

Its density is 6.05 g cm⁻³. The total moment is 84.00 Bohr magnetons per cell. The total DFT energy (no corrections) comes out at -0.6212 Ry/atom. Its crystal system is trigonal.

The space group is R-3 (No. 148, hexagonal axes) and the conventional cell measures 8.9680, 8.9680 and 10.4532 Å, with angles of 90.00, 90.00 and 120.00 degrees. The inequivalent atoms are Ta at (0.0000, 0.0000, 0.0000), Ta at (0.0000, 0.0000, 0.5000), Mn at (0.0402, 0.7675, 0.2074), O at (0.0164, 0.8322, 0.8827) and O at (0.0189, 0.8205, 0.3977).